## YAl2WO8 (GGA+U)

Data for a relaxed structure of YAl2WO8.

```
YAl2WO8
1.0
4.608 0.003 -0.003
0.046 4.607 -0.005
0.004 0.007 6.348
O W Y Al
8 1 1 2
Cartesian
3.660 0.963 1.378 O
3.662 0.967 4.964 O
1.410 1.396 -0.002 O
0.996 3.650 1.377 O
3.248 3.221 6.343 O
0.999 3.654 4.963 O
1.564 1.550 3.172 O
3.095 3.068 3.169 O
0.000 0.000 0.000 W
0.002 0.003 3.174 Y
2.330 2.310 4.830 Al
2.328 2.307 1.511 Al
```

Calculated values
The value obtained for the raw total energy is -7.588 eV per atom. For the density of states at the Fermi level, the calculation gives 2.4 states/eV per cell. Its space group is Cmmm, No. 65. The spin magnetization comes out at 0.5 μB per formula unit. Its volume is 135 Å³/cell.